The following is a PBE-GGA calculation of a relaxed structure of YInPt2, from Alexandria via LeMat-Bulk.

```
4
Lattice="-1.6676 -2.3159 3.7266 -2.0397 -3.1225 -2.8498 2.9720 -2.0158 0.0791" Properties=species:S:1:pos:R:3 pbc="T T T"
In 0.4662 -2.5692 -1.3854
Pt 0.0000 0.0000 0.0000
Pt -1.8536 -2.7192 0.4384
Y 0.6522 -2.1659 1.9029
```

Results
**Formation enthalpy at 0 K**: -843 meV/atom
**Raw total energy**: -6.164 eV per atom
**DOS(E_F)**: 2.047 states/eV/f.u.

---

The following is a PBE-GGA calculation of a relaxed structure of BeTcIr, from Alexandria via LeMat-Bulk.

```
6
Lattice="-0.3510 -0.7358 3.5798 0.3141 -2.7462 -2.4164 9.4167 0.2239 0.9694" Properties=species:S:1:pos:R:3 pbc="T T T"
Be 2.4465 -2.0201 -0.1754
Be 6.9332 -1.2380 2.3081
Ir 0.0000 0.0000 0.0000
Ir 4.7083 0.1120 0.4847
Tc 2.3542 0.0560 0.2423
Tc 7.0625 0.1680 0.7270
```

Results
**Formation enthalpy at 0 K**: 1899 meV/atom
**ΔE to the lowest computed polymorph**: 6.80 eV per formula unit
**Raw total energy**: -5.752 eV per atom
**DOS(E_F)**: 3.194 states/eV/f.u.

---

The following is a PBE-GGA calculation of a relaxed structure of Ca3MnAs2Pd9, from Alexandria via LeMat-Bulk.

```
15
Lattice="-0.7935 -5.0073 4.2151 5.3249 0.2298 -3.8811 4.1985 4.4031 6.0210" Properties=species:S:1:pos:R:3 pbc="T T T"
Ca 6.2061 1.5471 3.0061
Ca 0.0000 0.0000 0.0000
Ca 2.5238 -1.9215 3.3489
Mn 2.0992 2.2015 3.0105
As 4.0098 -0.7562 -0.1435
As 4.7201 0.3818 6.4985
Pd 2.9486 -1.3119 6.3058
Pd 5.1716 -1.2159 4.6855
Pd 3.2799 0.7786 4.5461
Pd 5.4500 -1.1530 1.8089
Pd 3.5582 0.8415 1.6694
Pd 5.7812 0.9374 0.0492
Pd -0.3967 -2.5037 2.1076
Pd 2.6624 0.1149 -1.9406
Pd 2.2657 -2.3888 0.1670
```

Results
**Formation enthalpy at 0 K**: -373 meV/atom
**Raw total energy**: -5.121 eV per atom
**DOS(E_F)**: 5.028 states/eV/f.u.

---

The following is a PBE-GGA calculation of a relaxed structure of Tl5In12Hg2, from Alexandria via LeMat-Bulk.

```
19
Lattice="5.5835 -0.7818 1.3931 0.2075 8.3386 4.3568 0.2554 -0.9583 11.0687" Properties=species:S:1:pos:R:3 pbc="T T T"
Tl 2.1971 1.2449 3.9174
Tl 4.7476 1.7606 6.2955
Tl 2.7917 -0.3909 0.6965
Tl 1.2988 4.8378 10.5230
Tl 3.8493 5.3535 12.9012
In 0.7399 6.6549 13.8642
In 1.2326 4.4858 3.1960
In 1.2088 -0.1877 6.6978
In 3.5851 4.6956 5.1996
In 3.4905 0.3213 8.8873
In 1.7209 3.0766 7.2982
In 4.3255 3.5218 9.5203
In 2.4613 1.9028 11.6190
In 2.5559 6.2771 7.9313
In 4.8138 2.1126 13.6225
In 4.8376 6.7862 10.1208
In 5.3065 -0.0565 2.9544
Hg 5.8140 0.7124 10.9197
Hg 0.2324 5.8860 5.8989
```

Results
**Formation enthalpy at 0 K**: 23 meV/atom
**Raw total energy**: -2.361 eV per atom
**DOS(E_F)**: 6.032 states/eV/f.u.

---

The following is a PBE-GGA calculation of a relaxed structure of Sr2Y, from Alexandria via LeMat-Bulk.

```
3
Lattice="6.2026 0.0000 0.0000 3.1013 5.3716 0.0000 3.1013 1.7905 5.0644" Properties=species:S:1:pos:R:3 pbc="T T T"
Sr 9.3039 5.3716 3.7983
Sr 3.1013 1.7905 1.2661
Y 0.0000 0.0000 0.0000
```

Results
**Formation enthalpy at 0 K**: 698 meV/atom
**ΔE to the lowest computed polymorph**: 1.67 eV per formula unit
**Raw total energy**: -2.578 eV per atom
**DOS(E_F)**: 6.601 states/eV/f.u.

---

The following is a PBE-GGA calculation of a relaxed structure of Ca2Ni4Sn3Ir, from Alexandria via LeMat-Bulk.

```
10
Lattice="4.1619 0.0000 0.0000 0.0000 4.1619 0.0000 0.0000 0.0000 10.9520" Properties=species:S:1:pos:R:3 pbc="T T T"
Ca 2.0809 0.0000 2.8640
Ca 0.0000 2.0809 8.0880
Ni 2.0809 2.0809 0.0000
Ni 0.0000 0.0000 0.0000
Ni 2.0809 0.0000 6.9596
Ni 0.0000 2.0809 3.9924
Sn 0.0000 0.0000 5.4760
Sn 2.0809 0.0000 9.4893
Sn 0.0000 2.0809 1.4627
Ir 2.0809 2.0809 5.4760
```

Results
**Formation enthalpy at 0 K**: -311 meV/atom
**Raw total energy**: -5.111 eV per atom
**DOS(E_F)**: 9.483 states/eV/f.u.

---

The following is a PBE-GGA calculation of a relaxed structure of LiLuPuTc, from Alexandria via LeMat-Bulk.

```
4
Lattice="-3.9491 2.3565 -1.5195 -3.7592 -2.4756 -1.7882 -4.1220 -0.3024 2.5249" Properties=species:S:1:pos:R:3 pbc="T T T"
Lu -2.9576 -0.1054 -0.1957
Li -5.9151 -0.2107 -0.3914
Tc 0.0000 0.0000 0.0000
Pu -8.8727 -0.3161 -0.5871
```

Results
**Formation enthalpy at 0 K**: 55 meV/atom
**Raw total energy**: -7.728 eV per atom
**DOS(E_F)**: 8.109 states/eV/f.u.

---

The following is a PBE-GGA calculation of a relaxed structure of In2SbCl, from Alexandria via LeMat-Bulk.

```
4
Lattice="-3.0655 -3.8521 -1.9445 -5.2455 0.1938 0.6814 -3.1708 0.9694 -4.1260" Properties=species:S:1:pos:R:3 pbc="T T T"
Sb -5.7409 -1.3444 -2.6945
Cl 0.0000 0.0000 0.0000
In -2.8705 -0.6722 -1.3473
In -8.6114 -2.0166 -4.0418
```

Results
**Formation energy (no corrections)**: -0.30 eV/atom
**ΔE to the lowest computed polymorph**: 0.33 eV per formula unit
**Raw total energy**: -3.160 eV per atom
**DOS(E_F)**: 0.778 states/eV/f.u.

---

The following is a PBE-GGA calculation of a relaxed structure of AcPr2Hg, from Alexandria via LeMat-Bulk.

```
4
Lattice="3.8806 0.0000 0.0000 0.0000 5.8564 0.0000 0.0000 0.0000 5.8564" Properties=species:S:1:pos:R:3 pbc="T T T"
Pr 0.0000 0.0000 2.9282
Pr 0.0000 2.9282 0.0000
Ac 1.9403 2.9282 2.9282
Hg 1.9403 0.0000 0.0000
```

Results
**Formation enthalpy at 0 K**: -95 meV/atom
**ΔE to the lowest computed polymorph**: 0.54 eV per formula unit
**Raw total energy**: -3.587 eV per atom
**DOS(E_F)**: 5.854 states/eV/f.u.

---

The following is a PBE-GGA calculation of a relaxed structure of KGa3S, from Alexandria via LeMat-Bulk.

```
5
Lattice="-2.3217 -3.3265 -4.1067 -1.5940 -3.8358 4.0083 -5.0388 2.7462 0.6242" Properties=species:S:1:pos:R:3 pbc="T T T"
K 0.0000 0.0000 0.0000
S -4.4772 -2.2081 0.2629
Ga -0.7970 -1.9179 2.0041
Ga -2.5194 1.3731 0.3121
Ga -1.1608 -1.6633 -2.0533
```

Results
**Formation energy (no corrections)**: 1.09 eV/atom
**ΔE to the lowest computed polymorph**: 4.59 eV per formula unit
**Raw total energy**: -1.771 eV per atom
**DOS(E_F)**: 2.723 states/eV/f.u.

---

The following is a PBE-GGA calculation of a relaxed structure of Ac2LuSn, from Alexandria via LeMat-Bulk.

```
4
Lattice="4.4250 0.0000 0.0000 0.0000 4.4250 0.0000 0.0000 0.0000 7.2783" Properties=species:S:1:pos:R:3 pbc="T T T"
Ac 0.0000 0.0000 5.5761
Ac 0.0000 0.0000 1.7022
Lu 2.2125 2.2125 3.6392
Sn 2.2125 2.2125 0.0000
```

Results
**Formation enthalpy at 0 K**: -265 meV/atom
**ΔE to the lowest computed polymorph**: 0.10 eV per formula unit
**Raw total energy**: -4.450 eV per atom
**DOS(E_F)**: 4.039 states/eV/f.u.

---

The following is a PBE-GGA calculation of a relaxed structure of K2AsRh, from Alexandria via LeMat-Bulk.

```
4
Lattice="-0.8662 -4.6237 1.9565 1.9011 -4.1334 -2.2930 3.8034 -2.5983 2.1771" Properties=species:S:1:pos:R:3 pbc="T T T"
As 2.4192 -5.6777 0.9203
K 0.0000 0.0000 0.0000
K 1.2096 -2.8388 0.4602
Rh 3.6288 -8.5165 1.3805
```

Results
**Formation enthalpy at 0 K**: 310 meV/atom
**Raw total energy**: -3.239 eV per atom
**DOS(E_F)**: 5.140 states/eV/f.u.

---

The following is a PBE-GGA calculation of a relaxed structure of BiPb5Au, from Alexandria via LeMat-Bulk.

```
14
Lattice="9.6658 -0.4943 0.3063 2.5978 9.3233 0.3063 5.4848 3.9487 5.0892" Properties=species:S:1:pos:R:3 pbc="T T T"
Bi 7.8568 4.9102 1.5786
Bi 9.8916 7.8674 4.1232
Pb 9.2860 7.9335 0.7963
Pb 6.6350 7.4726 3.2826
Pb 13.2121 8.2637 3.3409
Pb 9.8426 2.1519 1.5786
Pb 11.2992 10.8304 4.9637
Pb 6.4492 1.9472 0.7380
Pb 7.9058 10.6257 4.1232
Pb 4.5362 4.5140 2.3609
Pb 11.1133 5.3051 2.4192
Pb 8.4623 4.8442 4.9055
Au 0.0000 0.0000 0.0000
Au 2.7424 1.9743 2.5446
```

Results
**Formation enthalpy at 0 K**: 49 meV/atom
**ΔE to the lowest computed polymorph**: 0.13 eV per formula unit
**Raw total energy**: -3.622 eV per atom
**DOS(E_F)**: 3.750 states/eV/f.u.

---

The following is a PBE-GGA calculation of a relaxed structure of Pa6SiGe5, from Alexandria via LeMat-Bulk.

```
12
Lattice="7.0683 0.1705 1.0728 1.7350 5.9873 3.4905 0.1186 0.0624 7.1455" Properties=species:S:1:pos:R:3 pbc="T T T"
Si 0.0000 0.0000 0.0000
Pa 5.5038 0.6411 3.4510
Pa 2.8056 3.5835 4.6740
Pa 2.1869 1.5181 1.1273
Pa 6.6165 4.6397 3.4360
Pa 6.1163 2.6368 7.0349
Pa 3.4182 5.5792 8.2578
Ge 3.9053 1.1362 5.8607
Ge 0.6187 2.0197 3.5396
Ge 4.4017 3.0789 2.2817
Ge 1.2349 4.0301 7.0964
Ge 5.0166 5.0841 5.8481
```

Results
**Formation energy (no corrections)**: -0.42 eV/atom
**Raw total energy**: -7.548 eV per atom
**DOS(E_F)**: 16.842 states/eV/f.u.

---

The following is a PBE-GGA calculation of a relaxed structure of TiTlAu2, from Alexandria via LeMat-Bulk.

```
4
Lattice="3.1529 0.0000 0.0000 0.0000 3.1529 0.0000 0.0000 0.0000 8.1382" Properties=species:S:1:pos:R:3 pbc="T T T"
Tl 1.5765 1.5765 4.0691
Au 0.0000 0.0000 6.4353
Au 0.0000 0.0000 1.7029
Ti 1.5765 1.5765 0.0000
```

Results
**Formation enthalpy at 0 K**: -177 meV/atom
**Raw total energy**: -4.381 eV per atom
**DOS(E_F)**: 2.228 states/eV/f.u.

---

The following is a PBE-GGA calculation of a relaxed structure of Be2Pt, from Alexandria via LeMat-Bulk.

```
3
Lattice="-0.0045 -2.5403 -1.0686 2.2357 0.9405 1.3086 -1.9028 -1.9553 4.6562" Properties=species:S:1:pos:R:3 pbc="T T T"
Be -1.9000 -1.9523 4.6492
Be 0.2175 -1.5262 3.6274
Pt 0.1080 -2.0318 1.2759
```

Results
**Formation enthalpy at 0 K**: -71 meV/atom
**ΔE to the lowest computed polymorph**: 1.73 eV per formula unit
**Raw total energy**: -4.568 eV per atom
**DOS(E_F)**: 1.162 states/eV/f.u.

---

The following is a PBE-GGA calculation of a relaxed structure of TiAuBr2, from Alexandria via LeMat-Bulk.

```
4
Lattice="-5.6757 7.9733 -4.0909 -6.7162 8.1514 -0.9845 -3.9458 9.6661 -1.8760" Properties=species:S:1:pos:R:3 pbc="T T T"
Au 0.0000 0.0000 0.0000
Br -14.5370 22.9482 -6.1852
Br -1.8007 2.8426 -0.7662
Ti -8.1688 12.8954 -3.4757
```

Results
**Formation energy (no corrections)**: -0.46 eV/atom
**ΔE to the lowest computed polymorph**: 0.00 eV per formula unit
**Raw total energy**: -4.087 eV per atom
**DOS(E_F)**: 1.015 states/eV/f.u.

---

The following is a PBE-GGA calculation of a relaxed structure of Tb6PrErTm2, from Alexandria via LeMat-Bulk.

```
20
Lattice="9.1519 -2.0607 -2.1385 0.7772 8.4896 -1.9658 0.7772 -2.2791 8.4109" Properties=species:S:1:pos:R:3 pbc="T T T"
Tb 1.1857 -0.8345 5.9853
Tb 4.9446 -0.8320 5.9879
Tb 9.5205 4.9843 -1.6788
Tb 5.7616 4.9818 -1.6813
Tb 4.0037 6.6426 0.9985
Tb 2.1267 4.4285 -1.2992
Tb 6.7026 -2.4928 3.3080
Tb 8.5796 -0.2787 5.6058
Tb 2.0457 4.6164 2.5240
Tb 4.0846 2.8290 0.6690
Tb 8.6606 -0.4667 1.7826
Tb 6.6216 1.3208 3.6375
Pr 3.0652 1.5666 3.6741
Pr 7.6411 2.5832 0.6324
Er 3.0652 7.7010 -2.2370
Er 7.6411 -3.5512 6.5436
Tm 5.3438 4.3082 3.3756
Tm 0.7865 1.9665 0.9455
Tm 5.3624 -0.1584 0.9309
Tm 9.9198 2.1833 3.3610
```

Results
**Formation enthalpy at 0 K**: 124 meV/atom
**Raw total energy**: -4.483 eV per atom
**DOS(E_F)**: 14.881 states/eV/f.u.

---

The following is a PBE-GGA calculation of a relaxed structure of TbDy2ThN4, from Alexandria via LeMat-Bulk.

```
8
Lattice="3.5394 0.0000 0.0000 0.0000 6.1084 0.1137 0.0000 -2.1301 5.7256" Properties=species:S:1:pos:R:3 pbc="T T T"
Tb 0.0000 0.0000 0.0000
Dy 1.7697 -1.0650 2.8628
Dy 0.0000 1.9892 2.9197
Th 1.7697 3.0542 0.0569
N 1.7697 1.0020 1.4642
N 1.7697 2.9763 4.3751
N 0.0000 -0.0729 4.3066
N 0.0000 4.0512 1.5327
```

Results
**Formation energy (no corrections)**: -1.67 eV/atom
**Raw total energy**: -8.488 eV per atom
**DOS(E_F)**: 1.727 states/eV/f.u.